[1]
# AlCuSi

A geometry-optimized AlCuSi structure (GGA-PBE, Alexandria).

Cell: 4.482 4.490 5.228 Å, 68.96 68.87 85.47°
Element x y z (fractional)
Al1 0.000 0.000 0.000
Al2 0.306 0.692 0.500
Cu1 0.547 0.268 0.845
Cu2 0.573 0.238 0.347
Si1 0.128 0.430 0.195
Si2 0.735 0.821 0.696

Values from the calculation:
size of the total moment	0.0	Bohr magnetons per cell
density of states at the Fermi level	0.287	states/eV/atom
V	46	Å³/f.u.
calculated total energy	-26.26	eV for the cell shown
formation energy from raw total energies	43.8	meV per atom

---

[2]
# AlCuSi4

A geometry-optimized AlCuSi4 structure (GGA-PBE, Alexandria).

Cell: 4.314 4.314 5.549 Å, 90.00 90.00 120.00°
Element x y z (fractional)
Al1 0.000 0.000 0.000
Cu1 0.000 0.000 0.500
Si1 0.333 0.667 0.220
Si2 0.333 0.667 0.780
Si3 0.667 0.333 0.282
Si4 0.667 0.333 0.718

Values from the calculation:
size of the total moment	0.0	Bohr magnetons per cell
density of states at the Fermi level	0.307	states/eV/atom
V	89	Å³/f.u.
energy above the lowest structure with this stoichiometry	0.043	eV/atom
calculated total energy	-27.74	eV for the cell shown
formation energy from raw total energies	298.9	meV per atom

---

[3]
# Al2CuSi3

A geometry-optimized Al2CuSi3 structure (GGA-PBE, Alexandria).

Cell: 8.026 8.026 3.940 Å, 99.64 99.64 50.50°
Element x y z (fractional)
Al1 0.000 0.000 0.000
Al2 0.000 0.500 0.000
Al3 0.500 0.000 0.000
Al4 0.500 0.500 0.000
Cu1 0.171 0.171 0.333
Cu2 0.829 0.829 0.667
Si1 0.141 0.692 0.369
Si2 0.308 0.859 0.631
Si3 0.335 0.335 0.577
Si4 0.665 0.665 0.423
Si5 0.692 0.141 0.369
Si6 0.859 0.308 0.631

Values from the calculation:
size of the total moment	0.0	Bohr magnetons per cell
density of states at the Fermi level	0.378	states/eV/atom
V	96	Å³/f.u.
energy above the lowest structure with this stoichiometry	0.029	eV/atom
calculated total energy	-52.97	eV for the cell shown
formation energy from raw total energies	227.9	meV per atom

---

[4]
# AlCuSi

A geometry-optimized AlCuSi structure (GGA-PBE, Alexandria).

Cell: 4.753 4.753 4.890 Å, 104.30 104.30 117.64°
Element x y z (fractional)
Al1 0.161 0.839 0.000
Al2 0.839 0.161 0.000
Cu1 0.263 0.737 0.500
Cu2 0.737 0.263 0.500
Si1 0.328 0.328 0.712
Si2 0.672 0.672 0.288

Values from the calculation:
size of the total moment	0.0	Bohr magnetons per cell
density of states at the Fermi level	0.324	states/eV/atom
V	43	Å³/f.u.
calculated total energy	-26.25	eV for the cell shown
formation energy from raw total energies	45.9	meV per atom

---

[5]
# AlCuSi

A geometry-optimized AlCuSi structure (GGA-PBE, Alexandria).

Cell: 3.910 3.910 7.009 Å, 90.00 90.00 120.00°
Element x y z (fractional)
Al1 0.000 0.000 0.195
Al2 0.000 0.000 0.805
Cu1 0.333 0.667 0.332
Cu2 0.333 0.667 0.668
Si1 0.667 0.333 0.000
Si2 0.667 0.333 0.500

Values from the calculation:
size of the total moment	0.0	Bohr magnetons per cell
density of states at the Fermi level	0.462	states/eV/atom
V	46	Å³/f.u.
calculated total energy	-25.48	eV for the cell shown
formation energy from raw total energies	174.3	meV per atom

---

[6]
# AlCu2Si2

A geometry-optimized AlCu2Si2 structure (GGA-PBE, Alexandria).

Cell: 7.512 7.512 2.549 Å, 90.00 90.00 90.00°
Element x y z (fractional)
Al1 0.000 0.000 0.000
Al2 0.500 0.500 0.000
Cu1 0.148 0.352 0.000
Cu2 0.352 0.852 0.000
Cu3 0.648 0.148 0.000
Cu4 0.852 0.648 0.000
Si1 0.149 0.649 0.500
Si2 0.351 0.149 0.500
Si3 0.649 0.851 0.500
Si4 0.851 0.351 0.500

Values from the calculation:
size of the total moment	0.0	Bohr magnetons per cell
density of states at the Fermi level	0.415	states/eV/atom
V	72	Å³/f.u.
calculated total energy	-43.69	eV for the cell shown
formation energy from raw total energies	186.8	meV per atom

---

[7]
# AlCuSi3

A geometry-optimized AlCuSi3 structure (GGA-PBE, Alexandria).

Cell: 6.092 6.092 6.092 Å, 90.00 90.00 90.00°
Element x y z (fractional)
Al1 0.000 0.000 0.500
Al2 0.000 0.500 0.000
Al3 0.500 0.000 0.000
Cu1 0.000 0.500 0.500
Cu2 0.500 0.000 0.500
Cu3 0.500 0.500 0.000
Si1 0.000 0.000 0.000
Si2 0.280 0.280 0.280
Si3 0.280 0.280 0.720
Si4 0.280 0.720 0.280
Si5 0.280 0.720 0.720
Si6 0.720 0.280 0.280
Si7 0.720 0.280 0.720
Si8 0.720 0.720 0.280
Si9 0.720 0.720 0.720

Values from the calculation:
size of the total moment	0.0	Bohr magnetons per cell
density of states at the Fermi level	0.309	states/eV/atom
V	75	Å³/f.u.
energy above the lowest structure with this stoichiometry	0.000	eV/atom
calculated total energy	-66.87	eV for the cell shown
formation energy from raw total energies	363.6	meV per atom

---

[8]
# AlCuSi

A geometry-optimized AlCuSi structure (GGA-PBE, Alexandria).

Cell: 4.165 13.667 3.498 Å, 90.00 90.00 90.00°
Element x y z (fractional)
Al1 0.250 0.146 0.002
Al2 0.250 0.354 0.002
Al3 0.750 0.646 0.998
Al4 0.750 0.854 0.998
Cu1 0.250 0.548 0.998
Cu2 0.250 0.952 0.998
Cu3 0.750 0.048 0.002
Cu4 0.750 0.452 0.002
Si1 0.250 0.665 0.499
Si2 0.250 0.835 0.499
Si3 0.750 0.165 0.501
Si4 0.750 0.335 0.501

Values from the calculation:
size of the total moment	0.0	Bohr magnetons per cell
density of states at the Fermi level	0.387	states/eV/atom
V	50	Å³/f.u.
calculated total energy	-51.12	eV for the cell shown
formation energy from raw total energies	160.3	meV per atom

---

[9]
# AlCuSi

A geometry-optimized AlCuSi structure (GGA-PBE, Alexandria).

Cell: 5.886 5.886 5.886 Å, 152.96 152.96 38.62°
Element x y z (fractional)
Al1 0.000 0.000 0.000
Cu1 0.339 0.339 0.000
Si1 0.684 0.684 0.000

Values from the calculation:
size of the total moment	0.0	Bohr magnetons per cell
density of states at the Fermi level	0.424	states/eV/atom
V	42	Å³/f.u.
calculated total energy	-13.01	eV for the cell shown
formation energy from raw total energies	83.7	meV per atom

---

[10]
# AlCu2Si

A geometry-optimized AlCu2Si structure (GGA-PBE, Alexandria).

Cell: 2.981 3.624 4.961 Å, 90.00 90.00 90.00°
Element x y z (fractional)
Al1 0.000 0.000 0.000
Cu1 0.000 0.000 0.502
Cu2 0.500 0.500 0.234
Si1 0.500 0.500 0.726

Values from the calculation:
size of the total moment	0.0	Bohr magnetons per cell
density of states at the Fermi level	0.412	states/eV/atom
V	54	Å³/f.u.
calculated total energy	-17.47	eV for the cell shown
formation energy from raw total energies	-28.9	meV per atom

---

[11]
# AlCu2Si4

A geometry-optimized AlCu2Si4 structure (GGA-PBE, Alexandria).

Cell: 3.998 3.998 9.523 Å, 90.00 90.00 120.00°
Element x y z (fractional)
Al1 0.000 0.000 0.000
Cu1 0.333 0.667 0.669
Cu2 0.667 0.333 0.331
Si1 0.333 0.667 0.426
Si2 0.333 0.667 0.909
Si3 0.667 0.333 0.091
Si4 0.667 0.333 0.574

Values from the calculation:
size of the total moment	0.0	Bohr magnetons per cell
density of states at the Fermi level	0.492	states/eV/atom
V	132	Å³/f.u.
energy above the lowest structure with this stoichiometry	0.223	eV/atom
calculated total energy	-30.88	eV for the cell shown
formation energy from raw total energies	391.8	meV per atom

---

[12]
# Al2Cu3Si

A geometry-optimized Al2Cu3Si structure (GGA-PBE, Alexandria).

Cell: 4.970 4.970 7.631 Å, 90.00 90.00 120.00°
Element x y z (fractional)
Al1 0.333 0.667 0.059
Al2 0.333 0.667 0.441
Al3 0.667 0.333 0.559
Al4 0.667 0.333 0.941
Cu1 0.170 0.340 0.750
Cu2 0.170 0.830 0.750
Cu3 0.340 0.170 0.250
Cu4 0.660 0.830 0.750
Cu5 0.830 0.170 0.250
Cu6 0.830 0.660 0.250
Si1 0.000 0.000 0.000
Si2 0.000 0.000 0.500

Values from the calculation:
size of the total moment	0.0	Bohr magnetons per cell
density of states at the Fermi level	0.261	states/eV/atom
V	82	Å³/f.u.
energy above the lowest structure with this stoichiometry	0.003	eV/atom
calculated total energy	-51.01	eV for the cell shown
formation energy from raw total energies	-51.6	meV per atom

---

[13]
# AlCuSi2

A geometry-optimized AlCuSi2 structure (GGA-PBE, Alexandria).

Cell: 5.880 5.880 7.687 Å, 118.04 118.04 52.05°
Element x y z (fractional)
Al1 0.000 0.000 0.000
Al2 0.057 0.057 0.372
Al3 0.943 0.943 0.628
Cu1 0.223 0.223 0.975
Cu2 0.500 0.500 0.500
Cu3 0.777 0.777 0.025
Si1 0.014 0.509 0.283
Si2 0.474 0.474 0.817
Si3 0.491 0.986 0.717
Si4 0.509 0.014 0.283
Si5 0.526 0.526 0.183
Si6 0.986 0.491 0.717

Values from the calculation:
size of the total moment	0.0	Bohr magnetons per cell
density of states at the Fermi level	0.296	states/eV/atom
V	60	Å³/f.u.
calculated total energy	-53.58	eV for the cell shown
formation energy from raw total energies	206.2	meV per atom

---

[14]
# AlCu2Si

A geometry-optimized AlCu2Si structure (GGA-PBE, Alexandria).

Cell: 4.245 4.245 7.476 Å, 90.00 90.00 120.00°
Element x y z (fractional)
Al1 0.333 0.667 0.250
Al2 0.667 0.333 0.750
Cu1 0.333 0.667 0.582
Cu2 0.333 0.667 0.918
Cu3 0.667 0.333 0.082
Cu4 0.667 0.333 0.418
Si1 0.000 0.000 0.250
Si2 0.000 0.000 0.750

Values from the calculation:
size of the total moment	0.0	Bohr magnetons per cell
density of states at the Fermi level	0.211	states/eV/atom
V	58	Å³/f.u.
calculated total energy	-32.99	eV for the cell shown
formation energy from raw total energies	215.7	meV per atom

---

[15]
# AlCuSi2

A geometry-optimized AlCuSi2 structure (GGA-PBE, Alexandria).

Cell: 5.618 5.618 5.618 Å, 152.63 133.44 54.85°
Element x y z (fractional)
Al1 0.000 0.000 0.000
Cu1 0.500 0.500 0.000
Si1 0.282 0.782 0.500
Si2 0.718 0.218 0.500

Values from the calculation:
size of the total moment	0.0	Bohr magnetons per cell
density of states at the Fermi level	0.341	states/eV/atom
V	59	Å³/f.u.
calculated total energy	-17.83	eV for the cell shown
formation energy from raw total energies	212.9	meV per atom

---

[16]
# AlCu3Si3

A geometry-optimized AlCu3Si3 structure (GGA-PBE, Alexandria).

Cell: 3.887 5.935 8.675 Å, 90.00 90.00 90.00°
Element x y z (fractional)
Al1 0.250 0.250 0.205
Al2 0.750 0.750 0.795
Cu1 0.250 0.003 0.908
Cu2 0.250 0.497 0.908
Cu3 0.250 0.750 0.420
Cu4 0.750 0.250 0.580
Cu5 0.750 0.503 0.092
Cu6 0.750 0.997 0.092
Si1 0.250 0.016 0.627
Si2 0.250 0.484 0.627
Si3 0.250 0.750 0.138
Si4 0.750 0.250 0.862
Si5 0.750 0.516 0.373
Si6 0.750 0.984 0.373

Values from the calculation:
size of the total moment	0.0	Bohr magnetons per cell
density of states at the Fermi level	0.369	states/eV/atom
V	100	Å³/f.u.
energy above the lowest structure with this stoichiometry	0.059	eV/atom
calculated total energy	-62.78	eV for the cell shown
formation energy from raw total energies	129.8	meV per atom

---

[17]
# AlCuSi

A geometry-optimized AlCuSi structure (GGA-PBE, Alexandria).

Cell: 4.818 6.052 6.294 Å, 89.48 89.44 73.24°
Element x y z (fractional)
Al1 0.139 0.185 0.222
Al2 0.141 0.684 0.279
Al3 0.859 0.316 0.721
Al4 0.861 0.815 0.778
Cu1 0.255 0.971 0.574
Cu2 0.257 0.470 0.926
Cu3 0.743 0.530 0.074
Cu4 0.745 0.029 0.426
Si1 0.348 0.858 0.943
Si2 0.349 0.357 0.556
Si3 0.651 0.643 0.444
Si4 0.652 0.142 0.057

Values from the calculation:
size of the total moment	0.0	Bohr magnetons per cell
density of states at the Fermi level	0.269	states/eV/atom
V	44	Å³/f.u.
calculated total energy	-52.96	eV for the cell shown
formation energy from raw total energies	7.2	meV per atom

---

[18]
# AlCu3Si

A geometry-optimized AlCu3Si structure (GGA-PBE, Alexandria).

Cell: 4.415 4.415 4.415 Å, 90.00 90.00 90.00°
Element x y z (fractional)
Al1 0.000 0.000 0.000
Cu1 0.000 0.500 0.500
Cu2 0.500 0.000 0.500
Cu3 0.500 0.500 0.000
Si1 0.500 0.500 0.500

Values from the calculation:
size of the total moment	0.0	Bohr magnetons per cell
density of states at the Fermi level	0.478	states/eV/atom
V	86	Å³/f.u.
energy above the lowest structure with this stoichiometry	0.506	eV/atom
calculated total energy	-19.19	eV for the cell shown
formation energy from raw total energies	453.4	meV per atom

---

[19]
# AlCuSi2

A geometry-optimized AlCuSi2 structure (GGA-PBE, Alexandria).

Cell: 6.503 8.214 5.088 Å, 90.00 90.00 90.00°
Element x y z (fractional)
Al1 0.070 0.111 0.000
Al2 0.430 0.611 0.500
Al3 0.570 0.389 0.000
Al4 0.930 0.889 0.500
Cu1 0.085 0.646 0.732
Cu2 0.415 0.146 0.232
Cu3 0.585 0.854 0.732
Cu4 0.915 0.354 0.232
Si1 0.063 0.619 0.247
Si2 0.108 0.158 0.502
Si3 0.392 0.658 0.002
Si4 0.437 0.119 0.747
Si5 0.563 0.881 0.247
Si6 0.608 0.342 0.502
Si7 0.892 0.842 0.002
Si8 0.937 0.381 0.747

Values from the calculation:
size of the total moment	0.0	Bohr magnetons per cell
density of states at the Fermi level	0.338	states/eV/atom
V	68	Å³/f.u.
calculated total energy	-72.42	eV for the cell shown
formation energy from raw total energies	144.7	meV per atom

---

[20]
# AlCu2Si

A geometry-optimized AlCu2Si structure (GGA-PBE, Alexandria).

Cell: 4.299 4.299 4.770 Å, 100.51 100.51 37.98°
Element x y z (fractional)
Al1 0.000 0.000 0.000
Cu1 0.248 0.248 0.745
Cu2 0.752 0.752 0.255
Si1 0.500 0.500 0.500

Values from the calculation:
size of the total moment	0.0	Bohr magnetons per cell
density of states at the Fermi level	0.329	states/eV/atom
V	53	Å³/f.u.
calculated total energy	-17.40	eV for the cell shown
formation energy from raw total energies	-11.8	meV per atom

---

[21]
# AlCu2Si

A geometry-optimized AlCu2Si structure (GGA-PBE, Alexandria).

Cell: 2.658 2.658 7.578 Å, 90.00 90.00 90.00°
Element x y z (fractional)
Al1 0.000 0.000 0.000
Cu1 0.500 0.500 0.245
Cu2 0.500 0.500 0.755
Si1 0.000 0.000 0.500

Values from the calculation:
size of the total moment	0.0	Bohr magnetons per cell
density of states at the Fermi level	0.113	states/eV/atom
V	54	Å³/f.u.
calculated total energy	-17.26	eV for the cell shown
formation energy from raw total energies	25.7	meV per atom

---

[22]
# AlCu4Si2

A geometry-optimized AlCu4Si2 structure (GGA-PBE, Alexandria).

Cell: 3.036 4.120 16.886 Å, 89.24 85.04 68.57°
Element x y z (fractional)
Al1 0.084 0.226 0.107
Al2 0.916 0.774 0.893
Cu1 0.001 0.241 0.254
Cu2 0.167 0.210 0.959
Cu3 0.167 0.708 0.458
Cu4 0.330 0.174 0.666
Cu5 0.670 0.826 0.334
Cu6 0.833 0.292 0.542
Cu7 0.833 0.790 0.041
Cu8 0.999 0.759 0.746
Si1 0.085 0.734 0.602
Si2 0.251 0.192 0.810
Si3 0.749 0.808 0.190
Si4 0.915 0.266 0.398

Values from the calculation:
size of the total moment	0.0	Bohr magnetons per cell
density of states at the Fermi level	0.229	states/eV/atom
V	98	Å³/f.u.
energy above the lowest structure with this stoichiometry	0.000	eV/atom
calculated total energy	-62.04	eV for the cell shown
formation energy from raw total energies	-6.5	meV per atom

---

[23]
# AlCuSi2

A geometry-optimized AlCuSi2 structure (GGA-PBE, Alexandria).

Cell: 2.738 2.738 8.971 Å, 90.00 90.00 120.00°
Element x y z (fractional)
Al1 0.000 0.000 0.000
Cu1 0.333 0.667 0.476
Si1 0.000 0.000 0.702
Si2 0.667 0.333 0.251

Values from the calculation:
size of the total moment	0.0	Bohr magnetons per cell
density of states at the Fermi level	0.372	states/eV/atom
V	58	Å³/f.u.
calculated total energy	-17.85	eV for the cell shown
formation energy from raw total energies	209.4	meV per atom

---

[24]
# AlCu2Si5

A geometry-optimized AlCu2Si5 structure (GGA-PBE, Alexandria).

Cell: 6.162 6.162 6.162 Å, 147.27 105.20 84.07°
Element x y z (fractional)
Al1 0.000 0.000 0.000
Cu1 0.236 0.736 0.500
Cu2 0.764 0.264 0.500
Si1 0.156 0.365 0.791
Si2 0.426 0.635 0.791
Si3 0.500 0.000 0.500
Si4 0.574 0.365 0.209
Si5 0.844 0.635 0.209

Values from the calculation:
size of the total moment	0.0	Bohr magnetons per cell
density of states at the Fermi level	0.336	states/eV/atom
V	119	Å³/f.u.
energy above the lowest structure with this stoichiometry	0.045	eV/atom
calculated total energy	-36.77	eV for the cell shown
formation energy from raw total energies	285.1	meV per atom